8
Lattice="5.875 0.245 0.000 -0.243 5.875 0.000 -2.816 -3.061 3.910" Properties=species:S:1:pos:R:3 comment="RbCd2GeO4 (PBE-GGA, optimized geometry)" formation_energy_uncorrected_kj_per_mol_fu=-999 pbc="T T T"
O -1.000 -1.087 2.860
O 1.729 4.060 1.050
O 1.000 1.087 2.861
O 3.903 2.060 1.050
Rb 0.000 0.000 0.000
Cd -0.122 2.938 1.955
Cd 2.938 0.122 1.955
Ge 2.816 3.060 0.000

4
Lattice="-1.861 1.052 1.801 -1.848 -1.949 -0.771 2.580 -4.554 5.326" Properties=species:S:1:pos:R:3 comment="SiTcPt2 (PBE-GGA, optimized geometry)" formation_energy_uncorrected_kj_per_mol_fu=-61 pbc="T T T"
Pt 0.053 -0.093 0.109
Pt 1.238 -2.184 2.554
Tc 0.081 -3.864 4.509
Si -1.209 -1.587 1.846

8
Lattice="-5.095 -3.649 -6.062 6.346 -5.661 -1.926 -0.581 -6.788 -1.696" Properties=species:S:1:pos:R:3 comment="BaSrSi2 (PBE-GGA, optimized geometry)" polymorph_energy_mev_per_atom=717 formation_energy_uncorrected_kj_per_mol_fu=108 pbc="T T T"
Si 3.118 -5.738 -2.464
Si 0.115 -8.656 -4.292
Si -2.471 -4.638 -4.375
Si 0.577 -13.165 -8.237
Ba 0.000 0.000 0.000
Ba -2.525 -7.546 -5.876
Sr 0.625 -4.655 -3.994
Sr 3.195 -8.552 -3.808

Q: What is the formula in the second record?
A: SiTcPt2